Here is a relaxed Mg6Cu23 crystal from Alexandria via LeMat-Bulk. Energies are from GGA-PBE.

Cell: 8.304 8.304 8.304 Å, 60.00 60.00 60.00°
Atoms (fractional coordinates):
1 Mg 0.212 0.212 0.788
2 Mg 0.212 0.788 0.212
3 Mg 0.212 0.788 0.788
4 Mg 0.788 0.212 0.212
5 Mg 0.788 0.212 0.788
6 Mg 0.788 0.788 0.212
7 Cu 0.000 0.000 0.500
8 Cu 0.000 0.500 0.000
9 Cu 0.000 0.500 0.500
10 Cu 0.140 0.620 0.620
11 Cu 0.170 0.170 0.170
12 Cu 0.170 0.170 0.489
13 Cu 0.170 0.489 0.170
14 Cu 0.380 0.380 0.380
15 Cu 0.380 0.380 0.860
16 Cu 0.380 0.860 0.380
17 Cu 0.489 0.170 0.170
18 Cu 0.500 0.000 0.000
19 Cu 0.500 0.000 0.500
20 Cu 0.500 0.500 0.000
21 Cu 0.500 0.500 0.500
22 Cu 0.511 0.830 0.830
23 Cu 0.620 0.140 0.620
24 Cu 0.620 0.620 0.140
25 Cu 0.620 0.620 0.620
26 Cu 0.830 0.511 0.830
27 Cu 0.830 0.830 0.511
28 Cu 0.830 0.830 0.830
29 Cu 0.860 0.380 0.380

Symmetry = Fm-3m, No. 225
DOS at the Fermi energy = 9.71 states/eV per cell
Calculated volume = 14.0 Å³/atom
Calculated total energy = -105.5 eV for the cell shown